! Na2NiSnF8 (GGA+U, optimized geometry); values from VASP
&SYSTEM
  ibrav = 0, nat = 12, ntyp = 4
/
ATOMIC_SPECIES
Na 22.99 Na.upf
Ni 58.69 Ni.upf
Sn 118.71 Sn.upf
F 19.00 F.upf
ATOMIC_POSITIONS crystal
Na 0.000 0.000 0.235
Na 0.000 0.000 0.765
Ni 0.500 0.500 0.000
Sn 0.500 0.500 0.500
F 0.217 0.785 0.500
F 0.229 0.773 0.000
F 0.320 0.324 0.267
F 0.320 0.324 0.734
F 0.680 0.676 0.266
F 0.680 0.676 0.733
F 0.771 0.227 0.000
F 0.783 0.215 0.500
CELL_PARAMETERS angstrom
5.078 0.000 0.000
0.295 5.105 0.000
0.009 0.008 6.570
! Total DFT energy (no corrections) = -4.5272 eV per atom
! M_tot = 0.168 μB/atom